# 1
DFT (PBE-GGA) results for Tc4AgPb after structural relaxation.

```
Tc4AgPb
1.0
0.000 3.723 3.723
3.723 0.000 3.723
3.723 3.723 0.000
Tc Ag Pb
4 1 1
direct
0.124 0.124 0.124 Tc
0.124 0.124 0.627 Tc
0.124 0.627 0.124 Tc
0.627 0.124 0.124 Tc
0.750 0.750 0.750 Ag
0.500 0.500 0.500 Pb
```

Results
* final energy: -7.3540 eV/atom
* DFT formation energy: 0.6499 eV/atom
* space group: F-43m, No. 216

---

# 2
DFT (PBE-GGA) results for SiBi3Pt after structural relaxation.

```
SiBi3Pt
1.0
5.279 0.000 0.000
0.000 5.279 0.000
0.000 0.000 5.279
Si Bi Pt
1 3 1
direct
0.000 0.000 0.000 Si
0.000 0.000 0.500 Bi
0.000 0.500 0.000 Bi
0.500 0.000 0.000 Bi
0.500 0.500 0.500 Pt
```

Results
* final energy: -3.7042 eV/atom
* offset from the most stable computed form: 0.239 eV/atom
* space group: Pm-3m, No. 221
* E_form (uncorrected): 0.917 eV per atom

---

# 3
DFT (PBE-GGA) results for CeRuN after structural relaxation.

```
CeRuN
1.0
-2.015 2.015 3.203
2.015 -2.015 3.203
2.015 2.015 -3.203
Ce Ru N
1 1 1
direct
0.000 0.000 0.000 Ce
0.637 0.637 0.000 Ru
0.342 0.342 0.000 N
```

Results
* final energy: -7.8014 eV/atom
* offset from the most stable computed form: 0.776 eV/atom
* space group: I4mm, No. 107
* E_form (uncorrected): 0.044 eV per atom

---

# 4
DFT (PBE-GGA) results for PmPrNd2Dy4 after structural relaxation.

```
PmPrNd2Dy4
1.0
6.268 -3.618 0.000
6.268 3.618 0.000
-4.184 0.000 11.718
Pm Pr Nd Dy
2 2 4 8
direct
0.000 0.500 0.000 Pm
0.500 0.000 0.000 Pm
0.000 0.000 0.000 Pr
0.000 0.000 0.500 Pr
0.000 0.500 0.500 Nd
0.500 0.000 0.500 Nd
0.500 0.500 0.000 Nd
0.500 0.500 0.500 Nd
0.250 0.250 0.250 Dy
0.250 0.250 0.750 Dy
0.250 0.750 0.250 Dy
0.250 0.750 0.750 Dy
0.750 0.250 0.250 Dy
0.750 0.250 0.750 Dy
0.750 0.750 0.250 Dy
0.750 0.750 0.750 Dy
```

Results
* final energy: -4.6711 eV/atom
* DFT formation energy: 0.0131 eV/atom
* space group: C2/m, No. 12

---

Which value of final energy does entry 1 give? -7.3540 eV/atom

---

Which formula does entry 3 have? CeRuN